Entry from Alexandria: a relaxed structure of Mn2VPdN (PBE-GGA).

Cell: 3.974 3.974 3.906 Å, 90.00 90.00 90.00°
Space group P4/mmm (No. 123)
Inequivalent atoms, fractional coordinates:
Mn1 0.000 0.500 0.000
V1 0.000 0.000 0.500
Pd1 0.500 0.500 0.500
N1 0.000 0.000 0.000

E_form (uncorrected): -0.393 eV/atom
crystal system: tetragonal

Entry from Alexandria: a relaxed structure of SrLaAl2Ru (PBE-GGA).

Cell: 5.032 5.032 5.225 Å, 90.00 90.00 90.00°
Space group P4/mmm (No. 123)
Inequivalent atoms, fractional coordinates:
Sr1 0.000 0.000 0.000
La1 0.500 0.500 0.000
Al1 0.000 0.500 0.500
Ru1 0.500 0.500 0.500

crystal system: tetragonal
formation energy: -262 meV per atom

Entry from Alexandria: a relaxed structure of Ho3Sb2Pb (PBE-GGA).

Cell: 7.767 13.185 7.423 Å, 90.00 109.55 90.00°
Space group C2/c (No. 15)
Inequivalent atoms, fractional coordinates:
Ho1 0.240 0.086 0.000
Ho2 0.250 0.250 0.500
Sb1 0.000 0.084 0.250
Sb2 0.000 0.252 0.750
Pb1 0.000 0.420 0.250

E_form (uncorrected): -0.838 eV/atom
crystal system: monoclinic

Entry from Alexandria: a relaxed structure of Cr2ReTe (PBE-GGA).

Cell: 3.818 3.818 8.200 Å, 90.00 90.00 90.00°
Space group I-4m2 (No. 119)
Inequivalent atoms, fractional coordinates:
Cr1 0.000 0.000 0.000
Cr2 0.000 0.500 0.250
Re1 0.000 0.500 0.750
Te1 0.000 0.000 0.500

E_form (uncorrected): 0.578 eV/atom
crystal system: tetragonal

Entry from Alexandria: a relaxed structure of In3GaRe (PBE-GGA).

Cell: 5.244 5.244 5.244 Å, 90.00 90.00 90.00°
Space group Pm-3m (No. 221)
Inequivalent atoms, fractional coordinates:
In1 0.000 0.000 0.500
Ga1 0.500 0.500 0.500
Re1 0.000 0.000 0.000

polymorph energy (0 for the lowest one): 0 meV/atom
crystal system: cubic
formation energy: 481 meV per atom

Entry from Alexandria: a relaxed structure of DyY2Rh2 (PBE-GGA).

Cell: 5.566 4.345 10.348 Å, 90.00 96.17 90.00°
Space group P2_1/m (No. 11)
Inequivalent atoms, fractional coordinates:
Dy1 0.097 0.250 0.294
Y1 0.250 0.250 0.969
Y2 0.387 0.250 0.621
Rh1 0.160 0.750 0.471
Rh2 0.257 0.750 0.146

polymorph energy (0 for the lowest one): 0 meV/atom
crystal system: monoclinic
formation energy: -698 meV per atom

Entry from Alexandria: a relaxed structure of YCu2 (PBE-GGA).

Cell: 3.474 3.474 4.884 Å, 90.00 90.00 90.00°
Space group P4/mmm (No. 123)
Inequivalent atoms, fractional coordinates:
Y1 0.000 0.000 0.000
Cu1 0.000 0.500 0.500

crystal system: tetragonal
formation energy: 123 meV per atom

Entry from Alexandria: a relaxed structure of Ba3Tl6SnHg2 (PBE-GGA).

Cell: 6.5454 6.5454 11.3977 Å, 90.00 90.00 120.00°
Space group P-3m1 (No. 164)
Inequivalent atoms, fractional coordinates:
Ba1 0.0000 0.0000 0.0000
Ba2 0.3333 0.6667 0.5875
Tl1 0.1698 0.3397 0.2651
Sn1 0.0000 0.0000 0.5000
Hg1 0.3333 0.6667 0.9227

crystal system: trigonal
formation energy: -265 meV per atom

Calculated density of states at the Fermi level (states/eV/cell), listed in the same order as above: 4.2, 3.6, 11.9, 9.2, 3.4, 5.5, 3.9, 5.9
Calculated total magnetic moment (μB per cell), listed in the same order as above: 4.80, 0.00, 0.00, 5.90, 0.00, 0.00, 0.00, 0.00